A plane-wave DFT calculation with PBE was carried out for a relaxed ZrScCu crystal.

Energy above the most stable polymorph in this dataset, eV per atom: 0.036
Energy of formation from the pure elements, kJ/mol of atoms: -11.2
Final energy, eV per cell: -38.65
SG: Cm

Cell: 7.717 7.717 4.786 Å, 90.17 90.17 24.12°
Fractional coordinates of all 6 atoms:
Zr 0.000 0.000 0.000
Zr 0.135 0.135 0.505
Sc 0.694 0.694 0.006
Sc 0.829 0.829 0.508
Cu 0.349 0.349 0.012
Cu 0.476 0.476 0.494